[1]
Material: LaRe3Te
Method: DFT, PBE
State: relaxed

Unit cell a=4.8798 b=4.8798 c=4.8798 alpha=90.00 beta=90.00 gamma=90.00
Sites, in units of the cell vectors:
Re 0.0000 0.5000 0.0000
Re 0.0000 0.0000 0.5000
Re 0.5000 0.0000 0.0000
Te 0.5000 0.5000 0.5000
La 0.0000 0.0000 0.0000

- space-group type = Pm-3m
- energy above the lowest structure with this stoichiometry (kJ/mol of atoms) = 123.8
- raw formation energy (kJ/mol of formula units) = 1427


[2]
Material: LaReTe2
Method: DFT, PBE
State: relaxed

Unit cell a=5.8603 b=5.8603 c=8.7664 alpha=70.47 beta=70.47 gamma=90.00
Sites, in units of the cell vectors:
Re 0.0000 0.0000 0.0000
Re 0.7500 0.2500 0.5000
Te 0.7075 0.1250 0.2500
Te 0.0425 0.6250 0.2500
Te 0.3750 0.2925 0.7500
Te 0.8750 0.9575 0.7500
La 0.5000 0.5000 0.0000
La 0.2500 0.7500 0.5000

- space-group type = I-42d
- energy above the lowest structure with this stoichiometry (kJ/mol of atoms) = 30.4
- raw formation energy (kJ/mol of formula units) = 33


[3]
Material: LaReTe2
Method: DFT, PBE
State: relaxed

Unit cell a=7.1136 b=7.1136 c=7.1136 alpha=151.16 beta=143.46 gamma=47.21
Sites, in units of the cell vectors:
La 0.4450 0.4450 0.0000
Re 0.2215 0.7215 0.5000
Te 0.0629 0.0629 0.0000
Te 0.7706 0.2706 0.5000

- space-group type = Imm2
- energy above the lowest structure with this stoichiometry (kJ/mol of atoms) = 9.7
- raw formation energy (kJ/mol of formula units) = -49


[4]
Material: LaReTe2
Method: DFT, PBE
State: relaxed

Unit cell a=3.5774 b=3.5774 c=7.6283 alpha=90.00 beta=90.00 gamma=101.35
Sites, in units of the cell vectors:
La 0.5000 0.5000 0.2500
Re 0.5000 0.5000 0.7500
Te 0.0000 0.0000 0.9619
Te 0.0000 0.0000 0.5381

- space-group type = Cmmm
- energy above the lowest structure with this stoichiometry (kJ/mol of atoms) = 28.4
- raw formation energy (kJ/mol of formula units) = 25


[5]
Material: LaReTe2
Method: DFT, PBE
State: relaxed

Unit cell a=10.4038 b=10.4038 c=10.4038 alpha=19.22 beta=19.22 gamma=19.22
Sites, in units of the cell vectors:
Re 0.5000 0.5000 0.5000
Te 0.8943 0.8943 0.8943
Te 0.1057 0.1057 0.1057
La 0.0000 0.0000 0.0000

- space-group type = R-3m
- energy above the lowest structure with this stoichiometry (kJ/mol of atoms) = 39.5
- raw formation energy (kJ/mol of formula units) = 70


[6]
Material: LaReTe2
Method: DFT, PBE
State: relaxed

Unit cell a=5.2136 b=5.2136 c=5.2136 alpha=60.00 beta=60.00 gamma=60.00
Sites, in units of the cell vectors:
La 0.5000 0.5000 0.5000
Re 0.7500 0.7500 0.7500
Te 0.0000 0.0000 0.0000
Te 0.2500 0.2500 0.2500

- space-group type = F-43m
- energy above the lowest structure with this stoichiometry (kJ/mol of atoms) = 67.2
- raw formation energy (kJ/mol of formula units) = 181


[7]
Material: LaReTe2
Method: DFT, PBE
State: relaxed

Unit cell a=5.1599 b=5.1599 c=5.1599 alpha=60.00 beta=60.00 gamma=60.00
Last column: magnetic moment on the atom in μB.
Sites, in units of the cell vectors:
Re 0.5000 0.5000 0.5000  1.48
Te 0.2500 0.2500 0.2500  0.02
Te 0.7500 0.7500 0.7500  0.02
La 0.0000 0.0000 0.0000  0.13

- space-group type = Fm-3m
- energy above the lowest structure with this stoichiometry (kJ/mol of atoms) = 25.4
- raw formation energy (kJ/mol of formula units) = 14


[8]
Material: La4ReTe
Method: DFT, PBE
State: relaxed

Unit cell a=6.2514 b=6.2514 c=6.2514 alpha=60.00 beta=60.00 gamma=60.00
Last column: magnetic moment on the atom in μB.
Sites, in units of the cell vectors:
La 0.8719 0.3760 0.3760  -0.01
La 0.3760 0.3760 0.8719  -0.01
La 0.3760 0.8719 0.3760  -0.01
La 0.3760 0.3760 0.3760  -0.01
Re 0.7500 0.7500 0.7500  -0.98
Te 0.0000 0.0000 0.0000  0.00

- space-group type = F-43m
- raw formation energy (kJ/mol of formula units) = 347


[9]
Material: LaReTe2
Method: DFT, PBE
State: relaxed

Unit cell a=3.8550 b=3.8550 c=6.8984 alpha=90.00 beta=90.00 gamma=90.00
Last column: magnetic moment on the atom in μB.
Sites, in units of the cell vectors:
La 0.0000 0.0000 0.4863  -0.01
Re 0.5000 0.5000 0.8170  0.93
Te 0.0000 0.0000 0.9456  -0.01
Te 0.5000 0.5000 0.2511  0.02

- space-group type = P4mm
- energy above the lowest structure with this stoichiometry (kJ/mol of atoms) = 19.2
- raw formation energy (kJ/mol of formula units) = -11


[10]
Material: LaReTe
Method: DFT, PBE
State: relaxed

Unit cell a=4.6563 b=4.6563 c=3.9415 alpha=90.00 beta=90.00 gamma=120.00
Sites, in units of the cell vectors:
La 0.0000 0.0000 0.0003
Re 0.3333 0.6667 0.4998
Te 0.6667 0.3333 0.5000

- space-group type = P-6m2
- energy above the lowest structure with this stoichiometry (kJ/mol of atoms) = 41.8
- raw formation energy (kJ/mol of formula units) = -15


[11]
Material: LaReTe
Method: DFT, PBE
State: relaxed

Unit cell a=6.5259 b=6.5259 c=3.4052 alpha=74.88 beta=74.88 gamma=30.25
Sites, in units of the cell vectors:
La 0.9860 0.9860 0.0140
Re 0.3132 0.3132 0.6868
Te 0.7008 0.7008 0.2992

- space-group type = I4mm
- energy above the lowest structure with this stoichiometry (kJ/mol of atoms) = 47.9
- raw formation energy (kJ/mol of formula units) = 3


[12]
Material: LaReTe
Method: DFT, PBE
State: relaxed

Unit cell a=4.5510 b=4.1060 c=9.3616 alpha=90.00 beta=102.62 gamma=90.00
Sites, in units of the cell vectors:
Re 0.9939 0.2500 0.5687
Re 0.0061 0.7500 0.4313
Te 0.1918 0.2500 0.8626
Te 0.8082 0.7500 0.1374
La 0.3932 0.2500 0.2987
La 0.6068 0.7500 0.7013

- space-group type = P2_1/m
- energy above the lowest structure with this stoichiometry (kJ/mol of atoms) = 0.0
- raw formation energy (kJ/mol of formula units) = -140


The DOS at the Fermi energy results, record by record, are as follows: 8.4; 9.6; 1.9; 3.7; 3.2; 3.5; 3.0; 8.7; 3.8; 4.1; 1.0; 4.8 states/eV per cell.